Hf5TiPt6: relaxed, PBE-GGA.

Structure (CIF):
```
data_Hf5TiPt6
_space_group_name_H-M_alt 'P -1'
_space_group_IT_number 2
_space_group_name_Hall '-P 1'
_cell_length_a 4.7801
_cell_length_b 6.8062
_cell_length_c 7.7800
_cell_angle_alpha 115.85
_cell_angle_beta 106.18
_cell_angle_gamma 90.29
loop_
_atom_site_label
_atom_site_fract_x
_atom_site_fract_y
_atom_site_fract_z
Hf1 0.0000 0.0000 0.0000
Hf2 0.2656 0.3130 0.6285
Hf3 0.3554 0.8473 0.6973
Ti1 0.0000 0.5000 0.0000
Pt1 0.2238 0.4446 0.3244
Pt2 0.2252 0.8788 0.3240
Pt3 0.4983 0.2869 0.9996
```

Computed properties:
Energy of formation   -992 meV/atom


Hf2TiPt: relaxed, PBE-GGA.

Structure (CIF):
```
data_Hf2TiPt
_space_group_name_H-M_alt 'P 4/m m m'
_space_group_IT_number 123
_space_group_name_Hall '-P 4 2'
_cell_length_a 3.3165
_cell_length_b 3.3165
_cell_length_c 6.8368
_cell_angle_alpha 90.00
_cell_angle_beta 90.00
_cell_angle_gamma 90.00
loop_
_atom_site_label
_atom_site_fract_x
_atom_site_fract_y
_atom_site_fract_z
Hf1 0.0000 0.0000 0.2423
Ti1 0.5000 0.5000 0.5000
Pt1 0.5000 0.5000 0.0000
```

Computed properties:
Energy of formation   -549 meV/atom
Excess energy over the best structure of this formula in the dataset   0.00 eV/f.u.


no.,V (A^3/atom)
1,18.034
2,18.800